Record 1
meta-GGA SCAN NbSiNi2Cl, PBEsol geometry; energy relative to the elements, uncorrected = 63.39 kJ per mole of atoms
1.0
4.010 0.000 0.000
0.000 4.010 0.000
0.000 0.000 4.677
Nb Si Ni Cl
1 1 2 1
Cartesian
0.000 0.000 0.000 Nb
2.005 2.005 0.000 Si
0.000 2.005 2.339 Ni
2.005 0.000 2.339 Ni
0.000 0.000 2.339 Cl

***

Record 2
meta-GGA SCAN CeInPd, PBEsol geometry; DFT formation energy = -0.815 eV/atom
1.0
7.468 0.000 0.000
-3.734 6.467 0.000
0.000 0.000 4.067
Ce In Pd
3 3 3
Cartesian
-2.185 3.785 0.000 Ce
1.549 2.682 0.000 Ce
4.371 0.000 0.000 Ce
-0.935 1.619 2.034 In
1.870 0.000 2.034 In
2.799 4.848 2.034 In
0.000 0.000 0.000 Pd
0.000 4.312 2.034 Pd
3.734 2.156 2.034 Pd

***

Record 3
meta-GGA SCAN MgZrIn3, PBEsol geometry; DFT formation energy = 0.543 eV/atom
1.0
5.503 0.000 0.000
0.000 5.503 0.000
0.000 0.000 5.503
Mg Zr In
1 1 3
Cartesian
0.000 0.000 0.000 Mg
2.751 2.751 2.751 Zr
0.000 2.751 2.751 In
2.751 0.000 2.751 In
2.751 2.751 0.000 In

***

Record 4
meta-GGA SCAN TaTl2Os, PBEsol geometry; ΔE to the lowest computed polymorph = 663 meV/atom; DFT formation energy = 0.927 eV/atom
1.0
0.000 3.362 3.362
3.362 0.000 3.362
3.362 3.362 0.000
Ta Tl Os
1 2 1
Cartesian
0.000 0.000 0.000 Ta
1.681 1.681 1.681 Tl
3.362 3.362 3.362 Tl
5.043 5.043 5.043 Os

***

Record 5
meta-GGA SCAN TcNi2, PBEsol geometry; ΔE to the lowest computed polymorph = 39 meV/atom; DFT formation energy = 0.042 eV/atom
1.0
0.000 3.244 3.244
3.244 0.000 3.244
3.244 3.244 0.000
Tc Ni
2 4
Cartesian
0.811 0.811 0.811 Tc
5.678 5.678 5.678 Tc
3.244 1.622 1.622 Ni
1.622 3.244 1.622 Ni
1.622 1.622 3.244 Ni
3.244 3.244 3.244 Ni

***

Record 6
meta-GGA SCAN InMoOs2, PBEsol geometry; DFT formation energy = 0.517 eV/atom
1.0
-1.497 2.306 4.494
1.497 -2.306 4.494
1.497 2.306 -4.494
In Mo Os
1 1 2
Cartesian
0.000 0.000 0.000 In
0.000 0.000 4.494 Mo
1.497 0.000 2.267 Os
0.000 2.306 2.227 Os

***

Record 7
meta-GGA SCAN CaZr3Hg, PBEsol geometry; ΔE to the lowest computed polymorph = 0 meV/atom; DFT formation energy = 0.649 eV/atom
1.0
5.300 0.000 0.000
0.000 5.300 0.000
0.000 0.000 5.300
Ca Zr Hg
1 3 1
Cartesian
0.000 0.000 0.000 Ca
0.000 2.650 2.650 Zr
2.650 0.000 2.650 Zr
2.650 2.650 0.000 Zr
2.650 2.650 2.650 Hg

***

Record 8
meta-GGA SCAN HoAl2Si2, PBEsol geometry; energy relative to the elements, uncorrected = -37.00 kJ per mole of atoms
1.0
4.169 0.000 0.000
-2.084 3.610 0.000
0.000 0.000 6.444
Ho Al Si
1 2 2
Cartesian
0.000 0.000 0.000 Ho
0.000 2.407 4.165 Al
2.084 1.203 2.279 Al
0.000 2.407 1.643 Si
2.084 1.203 4.801 Si